No. 1
Below is crystalline Tl3PSe4 at its relaxed geometry, with properties calculated at the PBE-GGA level.

Properties
* symmetry: Pnma (62)
* formation energy (no corrections): -0.31 eV/atom
* density: 5.66 Mg/m³

Unit cell a=12.6482 b=10.5922 c=8.4039 alpha=90.00 beta=90.00 gamma=90.00
With the nearest neighbours (Å) after each atom.
Fractional coordinates of all 32 atoms:
Tl 0.0795 0.2500 0.0881  4 Se 3.11-3.31
Tl 0.1529 0.0354 0.5664  4 Se 3.23-3.48
Tl 0.1529 0.4646 0.5664  4 Se 3.23-3.48
Tl 0.3471 0.5354 0.0664  4 Se 3.23-3.48
Tl 0.3471 0.9646 0.0664  4 Se 3.23-3.48
Tl 0.4205 0.7500 0.5881  4 Se 3.11-3.31
Tl 0.5795 0.2500 0.4119  4 Se 3.11-3.31
Tl 0.6529 0.0354 0.9336  4 Se 3.23-3.48
Tl 0.6529 0.4646 0.9336  4 Se 3.23-3.48
Tl 0.8471 0.5354 0.4336  4 Se 3.23-3.48
Tl 0.8471 0.9646 0.4336  4 Se 3.23-3.48
Tl 0.9205 0.7500 0.9119  4 Se 3.11-3.31
P 0.0846 0.7500 0.2970  4 Se 2.22-2.25
P 0.4154 0.2500 0.7970  4 Se 2.22-2.25
P 0.5846 0.7500 0.2030  4 Se 2.22-2.25
P 0.9154 0.2500 0.7030  4 Se 2.22-2.25
Se 0.0171 0.7500 0.5453  1 P 2.25
Se 0.0295 0.5772 0.1692  1 P 2.23
Se 0.0295 0.9228 0.1692  1 P 2.23
Se 0.2401 0.2500 0.8083  1 P 2.22
Se 0.2599 0.7500 0.3083  1 P 2.22
Se 0.4705 0.0772 0.6692  1 P 2.23
Se 0.4705 0.4228 0.6692  1 P 2.23
Se 0.4829 0.2500 0.0453  1 P 2.25
Se 0.5171 0.7500 0.9547  1 P 2.25
Se 0.5295 0.5772 0.3308  1 P 2.23
Se 0.5295 0.9228 0.3308  1 P 2.23
Se 0.7401 0.2500 0.6917  1 P 2.22
Se 0.7599 0.7500 0.1917  1 P 2.22
Se 0.9705 0.0772 0.8308  1 P 2.23
Se 0.9705 0.4228 0.8308  1 P 2.23
Se 0.9829 0.2500 0.4547  1 P 2.25

No. 2
Below is crystalline NbTlAs2O8 at its relaxed geometry, with properties calculated at the PBE-GGA level.

Properties
* symmetry: P-3m1 (164)
* formation energy (no corrections): -1.53 eV/atom
* density: 4.30 Mg/m³

Unit cell a=5.5179 b=5.5179 c=8.4292 alpha=90.00 beta=90.00 gamma=120.00
With the nearest neighbours (Å) after each atom.
Fractional coordinates of all 12 atoms:
Nb 0.0000 0.0000 0.0000  6 O 1.99
Tl 0.0000 0.0000 0.5000  12 O 3.26-3.43
As 0.3333 0.6667 0.7794  4 O 1.66-1.73
As 0.6667 0.3333 0.2206  4 O 1.66-1.73
O 0.1668 0.3336 0.8597  1 As 1.73
O 0.1668 0.8332 0.8597  1 As 1.73
O 0.3333 0.6667 0.5825  1 As 1.66
O 0.3336 0.1668 0.1403  1 As 1.73
O 0.6664 0.8332 0.8597  1 As 1.73
O 0.6667 0.3333 0.4175  1 As 1.66
O 0.8332 0.1668 0.1403  1 As 1.73
O 0.8332 0.6664 0.1403  1 As 1.73

No. 3
Below is crystalline PrErTm2Sc2 at its relaxed geometry, with properties calculated at the PBE-GGA level.

Properties
* symmetry: Pnnm (58)
* density: 7.00 Mg/m³

Unit cell a=6.7375 b=9.5059 c=5.4531 alpha=90.00 beta=90.00 gamma=90.00
With the nearest neighbours (Å) after each atom.
Fractional coordinates of all 12 atoms:
Pr 0.0000 0.0000 0.0000  2 Er 3.37, 6 Sc 3.58-3.59, 6 Tm 3.58
Pr 0.5000 0.5000 0.5000  2 Er 3.37, 6 Sc 3.58-3.59, 6 Tm 3.58
Er 0.0000 0.5000 0.5000  2 Pr 3.37, 6 Tm 3.57-3.60, 6 Sc 3.57-3.59
Er 0.5000 0.0000 0.0000  2 Pr 3.37, 6 Tm 3.57-3.60, 6 Sc 3.57-3.59
Tm 0.2477 0.3333 0.0000  5 Sc 3.15-3.39
Tm 0.2523 0.8333 0.5000  5 Sc 3.15-3.39
Tm 0.7477 0.1667 0.5000  5 Sc 3.15-3.39
Tm 0.7523 0.6667 0.0000  5 Sc 3.15-3.39
Sc 0.2493 0.6666 0.0000  5 Tm 3.15-3.39
Sc 0.2507 0.1666 0.5000  5 Tm 3.15-3.39
Sc 0.7493 0.8334 0.5000  5 Tm 3.15-3.39
Sc 0.7507 0.3334 0.0000  5 Tm 3.15-3.39

No. 4
Below is crystalline NaLaTc at its relaxed geometry, with properties calculated at the PBE-GGA level.

Properties
* symmetry: C2 (5)
* density: 5.40 Mg/m³

Unit cell a=3.2384 b=3.2384 c=15.2313 alpha=90.08 beta=90.08 gamma=90.02
With the nearest neighbours (Å) after each atom.
Fractional coordinates of all 6 atoms:
Na 0.2492 0.2492 0.1008  4 Na 3.24
Na 0.7508 0.7508 0.8992  4 Na 3.24
La 0.2527 0.2499 0.6868  5 Tc 3.18-3.48, 4 La 3.24
La 0.7501 0.7473 0.3132  5 Tc 3.18-3.48, 4 La 3.24
Tc 0.2510 0.2484 0.4585  4 Tc 2.61-2.62
Tc 0.7516 0.7490 0.5415  4 Tc 2.61-2.62

No. 5
Below is crystalline BaTcAgP at its relaxed geometry, with properties calculated at the PBE-GGA level.

Properties
* symmetry: P4/nmm (129)
* density: 6.38 Mg/m³

Unit cell a=4.0568 b=4.0568 c=11.8375 alpha=90.00 beta=90.00 gamma=90.00
With the nearest neighbours (Å) after each atom.
Fractional coordinates of all 8 atoms:
Ba 0.2500 0.2500 0.2492  4 P 3.34, 4 Ag 3.58, 4 Tc 3.60
Ba 0.7500 0.7500 0.7508  4 P 3.34, 4 Ag 3.58, 4 Tc 3.60
Tc 0.2500 0.7500 0.5000  4 P 2.38
Tc 0.7500 0.2500 0.5000  4 P 2.38
Ag 0.2500 0.7500 0.0000  4 Ag 2.87
Ag 0.7500 0.2500 0.0000  4 Ag 2.87
P 0.2500 0.2500 0.6055  4 Tc 2.38
P 0.7500 0.7500 0.3945  4 Tc 2.38

| no. | E_tot (eV/f.u.) | volume (Å³/f.u.) | total magnetic moment (μB/atom) |
| --- | --- | --- | --- |
| 1 | -28.93 | 281 | 0.000 |
| 2 | -79.73 | 222 | 0.000 |
| 3 | -30.48 | 175 | 0.000 |
| 4 | -16.27 | 80 | 0.000 |
| 5 | -22.65 | 97 | 0.000 |